Entry from Alexandria via LeMat-Bulk: a relaxed TbPr2Mg2 crystal (PBE).

symmetry	P2_1/m (11)
crystal system	monoclinic
formation energy from the elements	-0.0687	eV per atom
ΔE to the lowest computed polymorph	0.0000	eV per atom

a = 3.8623 Å, b = 5.5316 Å, c = 14.3683 Å
α = 90.00°, β = 97.76°, γ = 90.00°
Closest atoms and distances in Å follow each position.
Fractional positions:
Mg 0.5542 0.2500 0.1087  2 Tb 3.31-3.32, 6 Pr 3.38-3.43, 2 Mg 3.69
Mg 0.6404 0.7500 0.2801  4 Pr 3.32-3.36, 4 Tb 3.38, 2 Mg 3.69
Mg 0.3596 0.2500 0.7199  4 Pr 3.32-3.36, 4 Tb 3.38, 2 Mg 3.69
Mg 0.4458 0.7500 0.8913  2 Tb 3.31-3.32, 6 Pr 3.38-3.43, 2 Mg 3.69
Tb 0.8502 0.7500 0.7020  6 Mg 3.31-3.38
Tb 0.1498 0.2500 0.2980  6 Mg 3.31-3.38
Pr 0.0454 0.7500 0.0901  8 Mg 3.32-3.43
Pr 0.7643 0.2500 0.5268  2 Mg 3.36, 4 Pr 3.45-3.46, 2 Tb 3.72
Pr 0.9546 0.2500 0.9099  8 Mg 3.32-3.43
Pr 0.2357 0.7500 0.4732  2 Mg 3.36, 4 Pr 3.45-3.46, 2 Tb 3.72

=====

Entry from Alexandria via LeMat-Bulk: a relaxed OsRuPt2 crystal (PBE).

symmetry	I-42d (122)
crystal system	tetragonal
formation energy from the elements	1.2275	eV per atom
ΔE to the lowest computed polymorph	1.2372	eV per atom

a = 5.6018 Å, b = 5.6018 Å, c = 6.8819 Å
α = 65.98°, β = 65.98°, γ = 90.00°
Closest atoms and distances in Å follow each position.
Fractional positions:
Pt 0.8750 0.8780 0.7500  2 Os 2.42, 2 Ru 2.44
Pt 0.3750 0.3720 0.7500  2 Os 2.42, 2 Ru 2.44
Pt 0.6280 0.1250 0.2500  2 Os 2.42, 2 Ru 2.44
Pt 0.1220 0.6250 0.2500  2 Os 2.42, 2 Ru 2.44
Ru 0.5000 0.5000 0.0000  4 Pt 2.44
Ru 0.2500 0.7500 0.5000  4 Pt 2.44
Os 0.0000 0.0000 0.0000  4 Pt 2.42
Os 0.7500 0.2500 0.5000  4 Pt 2.42

=====

Entry from Alexandria via LeMat-Bulk: a relaxed KBC crystal (PBE).

symmetry	Pmm2 (25)
crystal system	orthorhombic
formation energy from the elements	0.0998	eV per atom

a = 6.0056 Å, b = 5.9777 Å, c = 2.8648 Å
α = 90.00°, β = 90.00°, γ = 90.00°
Closest atoms and distances in Å follow each position.
Fractional positions:
C 0.0000 0.0000 0.7367  2 B 1.42-1.44
C 0.5000 0.5000 0.2068  2 B 1.42-1.44
K 0.0000 0.5000 0.0322  2 K 2.86, 4 C 3.04-3.11, 4 B 3.05-3.15
K 0.5000 0.0000 0.9023  2 K 2.86, 4 C 3.04-3.11, 4 B 3.04-3.15
B 0.5000 0.5000 0.7037  2 C 1.42-1.44
B 0.0000 0.0000 0.2398  2 C 1.42-1.44

=====

Entry from Alexandria via LeMat-Bulk: a relaxed La3Sm8Y2 crystal (PBE).

symmetry	C2/m (12)
crystal system	monoclinic
formation energy from the elements	0.2264	eV per atom
ΔE to the lowest computed polymorph	0.1203	eV per atom

a = 5.7767 Å, b = 7.7626 Å, c = 10.9924 Å
α = 110.68°, β = 90.13°, γ = 90.00°
Closest atoms and distances in Å follow each position.
Fractional positions:
La 0.5000 0.0000 0.0000  4 Sm 3.18
La 0.0000 0.7050 0.0000  1 La 3.18
La 0.0000 0.2950 0.0000  1 La 3.18
Sm 0.0036 0.6741 0.3482  2 Y 3.37, 4 Sm 3.56-3.59
Sm 0.9964 0.3259 0.6518  2 Y 3.37, 4 Sm 3.56-3.59
Sm 0.0026 0.8636 0.7272  2 Y 3.59-3.62, 3 La 3.62-4.01, 7 Sm 3.70-3.96
Sm 0.4996 0.6001 0.7830  1 La 3.18, 1 Sm 3.24, 2 Y 3.48-3.55
Sm 0.4996 0.1829 0.7830  1 La 3.18, 1 Sm 3.24, 2 Y 3.48-3.55
Sm 0.5004 0.3999 0.2170  1 La 3.18, 1 Sm 3.24, 2 Y 3.48-3.55
Sm 0.9974 0.1364 0.2728  2 Y 3.59-3.62, 3 La 3.62-4.01, 7 Sm 3.70-3.96
Sm 0.5004 0.8171 0.2170  1 La 3.18, 1 Sm 3.24, 2 Y 3.48-3.55
Y 0.5048 0.7585 0.5169  8 Sm 3.37-3.62
Y 0.4952 0.2415 0.4831  8 Sm 3.37-3.62